The following is a DFT calculation (PBE+U) of a geometry-optimized Li4Mn3Nb2Fe3O16 structure.

a = 5.981 Å, b = 5.981 Å, c = 9.752 Å
α = 87.72°, β = 87.72°, γ = 58.93°
Site moments in Bohr magnetons follow the coordinates.
Fractional coordinates of all 28 atoms:
1 Li 0.660 0.660 0.092  0.01
2 Li 0.998 0.998 0.007  0.00
3 Li 0.005 0.005 0.512  0.00
4 Li 0.333 0.333 0.602  0.00
5 Mn 0.831 0.831 0.786  3.88
6 Mn 0.170 0.661 0.286  3.90
7 Mn 0.661 0.170 0.286  3.90
8 Nb 0.667 0.667 0.512  0.11
9 Nb 0.321 0.321 0.003  0.07
10 Fe 0.341 0.830 0.785  1.17
11 Fe 0.830 0.341 0.785  1.17
12 Fe 0.171 0.171 0.282  4.32
13 O 0.342 0.844 0.413  0.08
14 O 0.520 0.520 0.664  -0.07
15 O 0.666 0.666 0.883  -0.10
16 O 0.001 0.001 0.699  -0.08
17 O 0.002 0.002 0.195  0.04
18 O 0.844 0.342 0.413  0.08
19 O 0.510 0.965 0.659  -0.01
20 O 0.965 0.510 0.659  -0.01
21 O 0.165 0.165 0.898  -0.03
22 O 0.842 0.842 0.410  -0.03
23 O 0.029 0.476 0.147  0.15
24 O 0.476 0.029 0.147  0.15
25 O 0.333 0.333 0.388  0.02
26 O 0.178 0.667 0.909  -0.01
27 O 0.478 0.478 0.162  -0.07
28 O 0.667 0.178 0.909  -0.01

The calculation puts the uncorrected energy at -197.50 eV for the cell shown.